No. 1
# SmCr2GeO6, relaxed, DFT GGA+U
data_SmCr2GeO6
_cell_length_a 5.234
_cell_length_b 5.299
_cell_length_c 5.641
_cell_angle_alpha 115.57
_cell_angle_beta 90.02
_cell_angle_gamma 119.31
_space_group_name_H-M_alt 'P 1'
_space_group_IT_number 1
loop_
_space_group_symop_operation_xyz
'x,y,z'
loop_
_atom_site_label
_atom_site_type_symbol
_atom_site_fract_x
_atom_site_fract_y
_atom_site_fract_z
Sm1 Sm 0.000 0.000 0.000
Cr1 Cr 0.277 0.537 0.825
Cr2 Cr 0.780 0.564 0.370
Ge1 Ge 0.469 0.943 0.432
O1 O 0.081 0.716 0.159
O2 O 0.191 0.752 0.620
O3 O 0.430 0.507 0.157
O4 O 0.548 0.392 0.615
O5 O 0.654 0.092 0.182
O6 O 0.819 0.013 0.614
# Magnetization   7.0 μB/cell
# Mass density   5.93 Mg/m³
# Calculated total energy   -7.531 eV per atom


No. 2
# Cr2SnGeO6, relaxed, DFT GGA+U
data_Cr2SnGeO6
_cell_length_a 5.160
_cell_length_b 5.286
_cell_length_c 5.604
_cell_angle_alpha 65.32
_cell_angle_beta 89.89
_cell_angle_gamma 60.84
_space_group_name_H-M_alt 'P 1'
_space_group_IT_number 1
loop_
_space_group_symop_operation_xyz
'x,y,z'
loop_
_atom_site_label
_atom_site_type_symbol
_atom_site_fract_x
_atom_site_fract_y
_atom_site_fract_z
Cr1 Cr 0.000 0.000 0.000
Cr2 Cr 0.498 0.979 0.542
Sn1 Sn 0.777 0.441 0.375
Ge1 Ge 0.309 0.389 0.931
O1 O 0.099 0.536 0.185
O2 O 0.240 0.816 0.764
O3 O 0.370 0.921 0.216
O4 O 0.591 0.190 0.748
O5 O 0.694 0.175 0.212
O6 O 0.961 0.441 0.759
# Magnetization   6.7 μB/cell
# Mass density   5.54 Mg/m³
# Calculated total energy   -6.895 eV per atom
# N(E_F)   2.4 states/eV/cell


No. 3
# SrCrGeO6, relaxed, DFT GGA+U
data_SrCrGeO6
_cell_length_a 5.303
_cell_length_b 5.303
_cell_length_c 11.031
_cell_angle_alpha 90.00
_cell_angle_beta 90.00
_cell_angle_gamma 90.00
_space_group_name_H-M_alt 'P 42 n m'
_space_group_IT_number 102
loop_
_space_group_symop_operation_xyz
'x,y,z'
'-y+1/2,x+1/2,z+1/2'
'-x,-y,z'
'y+1/2,-x+1/2,z+1/2'
'-x+1/2,y+1/2,z+1/2'
'y,x,z'
'x+1/2,-y+1/2,z+1/2'
'-y,-x,z'
loop_
_atom_site_label
_atom_site_type_symbol
_atom_site_fract_x
_atom_site_fract_y
_atom_site_fract_z
Sr1 Sr 0.000 0.000 0.000
Cr1 Cr 0.000 0.000 0.697
Ge1 Ge 0.000 0.000 0.452
O1 O 0.173 0.173 0.591
O2 O 0.177 0.823 0.782
O3 O 0.212 0.788 0.403
# Magnetization   0.1 μB/cell
# Mass density   3.30 Mg/m³
# Calculated total energy   -6.413 eV per atom


No. 4
# Sr3CrGe2O9, relaxed, DFT GGA+U
data_Sr3CrGe2O9
_cell_length_a 5.4642
_cell_length_b 5.4642
_cell_length_c 6.7024
_cell_angle_alpha 90.00
_cell_angle_beta 90.00
_cell_angle_gamma 120.00
_space_group_name_H-M_alt 'P -3 m 1'
_space_group_IT_number 164
_space_group_name_Hall '-P 3 2"'
loop_
_atom_site_label
_atom_site_type_symbol
_atom_site_fract_x
_atom_site_fract_y
_atom_site_fract_z
Sr1 Sr 0.0000 0.0000 0.0000
Sr2 Sr 0.3333 0.6667 0.6676
Cr1 Cr 0.0000 0.0000 0.5000
Ge1 Ge 0.3333 0.6667 0.1666
O1 O 0.0000 0.5000 0.0000
O2 O 0.1678 0.3356 0.3305
# Magnetization   2.0 μB/cell
# Mass density   5.79 Mg/m³
# Calculated total energy   -6.610 eV per atom
# N(E_F)   0.6 states/eV/cell


No. 5
# SrCr2GeO6, relaxed, DFT GGA+U
data_SrCr2GeO6
_cell_length_a 5.2947
_cell_length_b 5.2947
_cell_length_c 14.1493
_cell_angle_alpha 90.00
_cell_angle_beta 90.00
_cell_angle_gamma 120.00
_space_group_name_H-M_alt 'R 3'
_space_group_IT_number 146
_space_group_name_Hall 'R 3'
loop_
_atom_site_label
_atom_site_type_symbol
_atom_site_fract_x
_atom_site_fract_y
_atom_site_fract_z
Sr1 Sr 0.0000 0.0000 0.0000
Cr1 Cr 0.0000 0.0000 0.2624
Cr2 Cr 0.0000 0.0000 0.7723
Ge1 Ge 0.0000 0.0000 0.4616
O1 O 0.0034 0.3343 0.8545
O2 O 0.0282 0.5812 0.0344
# Magnetization   18.0 μB/cell
# Mass density   5.22 Mg/m³
# Calculated total energy   -7.100 eV per atom
# N(E_F)   0.0 states/eV/cell


No. 6
# TaCrGeO6, relaxed, DFT GGA+U
data_TaCrGeO6
_cell_length_a 4.636
_cell_length_b 4.636
_cell_length_c 9.036
_cell_angle_alpha 90.00
_cell_angle_beta 90.00
_cell_angle_gamma 90.00
_space_group_name_H-M_alt 'P 42 n m'
_space_group_IT_number 102
loop_
_space_group_symop_operation_xyz
'x,y,z'
'-y+1/2,x+1/2,z+1/2'
'-x,-y,z'
'y+1/2,-x+1/2,z+1/2'
'-x+1/2,y+1/2,z+1/2'
'y,x,z'
'x+1/2,-y+1/2,z+1/2'
'-y,-x,z'
loop_
_atom_site_label
_atom_site_type_symbol
_atom_site_fract_x
_atom_site_fract_y
_atom_site_fract_z
Ta1 Ta 0.000 0.000 0.000
Cr1 Cr 0.000 0.000 0.330
Ge1 Ge 0.000 0.000 0.662
O1 O 0.190 0.190 0.824
O2 O 0.191 0.191 0.503
O3 O 0.205 0.205 0.158
# Magnetization   6.0 μB/cell
# Mass density   6.87 Mg/m³
# Calculated total energy   -8.153 eV per atom
# N(E_F)   0.0 states/eV/cell


No. 7
# TbCr2GeO6, relaxed, DFT GGA+U
data_TbCr2GeO6
_cell_length_a 5.208
_cell_length_b 5.269
_cell_length_c 5.623
_cell_angle_alpha 64.23
_cell_angle_beta 89.98
_cell_angle_gamma 60.65
_space_group_name_H-M_alt 'P 1'
_space_group_IT_number 1
loop_
_space_group_symop_operation_xyz
'x,y,z'
loop_
_atom_site_label
_atom_site_type_symbol
_atom_site_fract_x
_atom_site_fract_y
_atom_site_fract_z
Tb1 Tb 0.000 0.000 0.000
Cr1 Cr 0.214 0.573 0.620
Cr2 Cr 0.718 0.547 0.163
Ge1 Ge 0.525 0.954 0.556
O1 O 0.176 0.021 0.371
O2 O 0.328 0.101 0.804
O3 O 0.439 0.407 0.368
O4 O 0.577 0.505 0.832
O5 O 0.803 0.767 0.365
O6 O 0.911 0.738 0.828
# Magnetization   7.0 μB/cell
# Mass density   6.15 Mg/m³
# Calculated total energy   -7.556 eV per atom
# N(E_F)   0.0 states/eV/cell


No. 8
# TbCrGeO5, relaxed, DFT GGA+U
data_TbCrGeO5
_cell_length_a 7.438
_cell_length_b 8.525
_cell_length_c 5.809
_cell_angle_alpha 90.00
_cell_angle_beta 90.00
_cell_angle_gamma 90.00
_space_group_name_H-M_alt 'P b a m'
_space_group_IT_number 55
loop_
_space_group_symop_operation_xyz
'x,y,z'
'-x,-y,-z'
'-x,-y,z'
'x,y,-z'
'x+1/2,-y+1/2,-z'
'-x+1/2,y+1/2,z'
'-x+1/2,y+1/2,-z'
'x+1/2,-y+1/2,z'
loop_
_atom_site_label
_atom_site_type_symbol
_atom_site_fract_x
_atom_site_fract_y
_atom_site_fract_z
Tb1 Tb 0.144 0.174 0.000
Cr1 Cr 0.000 0.500 0.251
Ge1 Ge 0.115 0.856 0.500
O1 O 0.000 0.000 0.288
O2 O 0.107 0.718 0.251
O3 O 0.160 0.423 0.500
O4 O 0.170 0.444 0.000
# Magnetization   12.0 μB/cell
# Mass density   6.55 Mg/m³
# Calculated total energy   -7.602 eV per atom
# N(E_F)   0.0 states/eV/cell